P:
This record from Alexandria via LeMat-Bulk describes In2GaBr after structural relaxation. The functional is PBE.

Computed properties:
**DOS(E_F)**: 1.51 states/eV per cell

Cell lengths 3.6503, 5.0177, 6.0245 Å; angles 90.00, 90.00, 90.00 degrees
Closest atoms and distances in Å follow each position.
Space group Pmmm (No. 47)
Asymmetric unit:
In: 0.0000 0.0000 0.0000  2 Ga 3.01, 4 Br 3.10
In: 0.5000 0.5000 0.5000  2 Br 3.01, 4 Ga 3.10
Ga: 0.0000 0.0000 0.5000  6 In 3.01-3.10
Br: 0.5000 0.5000 0.0000  6 In 3.01-3.10

=====

Q:
This record from Alexandria via LeMat-Bulk describes In2GaBr after structural relaxation. The functional is PBE.

Computed properties:
**DOS(E_F)**: 3.97 states/eV per cell

Cell lengths 3.9680, 3.9680, 24.9327 Å; angles 90.00, 90.00, 120.00 degrees
Closest atoms and distances in Å follow each position.
Space group R3m (No. 160, hexagonal axes)
Asymmetric unit:
In: 0.0000 0.0000 0.0000  3 Ga 2.96, 3 Br 3.32
In: 0.0000 0.0000 0.1833  3 Ga 2.95, 3 Br 3.15
Ga: 0.0000 0.0000 0.5912  6 In 2.95-2.96
Br: 0.0000 0.0000 0.7630  6 In 3.15-3.32

=====

R:
This record from Alexandria via LeMat-Bulk describes In2GaBr after structural relaxation. The functional is PBE.

Computed properties:
**DOS(E_F)**: 0.31 states/eV per cell

Cell lengths 6.4554, 6.4554, 13.6919 Å; angles 90.00, 90.00, 90.00 degrees
Closest atoms and distances in Å follow each position.
Space group I-42d (No. 122)
Asymmetric unit:
In: 0.1911 0.2500 0.1250  2 Ga 2.66
Ga: 0.0000 0.0000 0.0000  4 In 2.66
Br: 0.0000 0.0000 0.5000  4 In 3.08

=====

S:
This record from Alexandria via LeMat-Bulk describes In2GaBr after structural relaxation. The functional is PBE.

Computed properties:
**DOS(E_F)**: 2.77 states/eV per cell

Cell lengths 4.6019, 6.3122, 9.0190 Å; angles 77.02, 75.22, 89.96 degrees
Closest atoms and distances in Å follow each position.
Space group P-1 (No. 2)
Asymmetric unit:
In: 0.0000 0.0000 0.0000  2 In 3.16, 4 Br 3.37
In: 0.0000 0.5000 0.0000  6 In 3.07-3.16
In: 0.3808 0.3958 0.2394  3 Ga 2.96-3.18, 1 Br 2.99, 2 In 3.07
Ga: 0.2222 0.5668 0.5554  2 Ga 2.70-2.71, 1 Br 2.78, 2 In 2.96
Br: 0.3544 0.9112 0.2899  1 Ga 2.78, 1 In 2.99

=====

Which structure is the least stable? The one labeled R.

=====

P:
This record from Alexandria via LeMat-Bulk describes In2GaBr after structural relaxation. The functional is PBE.

Computed properties:
**DOS(E_F)**: 1.12 states/eV per cell

Cell lengths 3.6980, 6.0372, 4.9960 Å; angles 90.00, 90.00, 90.00 degrees
Closest atoms and distances in Å follow each position.
Space group Pm (No. 6)
Asymmetric unit:
In: 0.0000 0.0000 0.0000  2 Ga 3.02, 4 In 3.11
In: 0.4999 0.0000 0.4999  2 Br 3.02, 4 In 3.11
Ga: 0.0019 0.5000 0.9960  2 In 3.02, 4 Br 3.08-3.13
Br: 0.5018 0.5000 0.5021  2 In 3.02, 4 Ga 3.08-3.13

=====

Q:
This record from Alexandria via LeMat-Bulk describes In2GaBr after structural relaxation. The functional is PBE.

Computed properties:
**DOS(E_F)**: 2.38 states/eV per cell

Cell lengths 3.6025, 3.6025, 8.0989 Å; angles 90.00, 90.00, 90.00 degrees
Closest atoms and distances in Å follow each position.
Space group P4/mmm (No. 123)
Asymmetric unit:
In: 0.0000 0.0000 0.2269  4 Ga 3.14, 4 Br 3.37
Ga: 0.5000 0.5000 0.0000  8 In 3.14
Br: 0.5000 0.5000 0.5000  8 In 3.37, 4 Br 3.60

=====

R:
This record from Alexandria via LeMat-Bulk describes In2GaBr after structural relaxation. The functional is PBE.

Computed properties:
**DOS(E_F)**: 3.81 states/eV per cell

Cell lengths 3.8811, 6.2619, 10.1444 Å; angles 72.28, 79.10, 72.41 degrees
Closest atoms and distances in Å follow each position.
Space group P-1 (No. 2)
Asymmetric unit:
In: 0.0000 0.0000 0.0000  4 Ga 2.95-2.97, 2 Br 3.15
In: 0.1731 0.3775 0.2738  3 Ga 3.02-3.19, 2 Br 3.12-3.13, 2 In 3.20-3.21
In: 0.5000 0.5000 0.5000  4 In 3.20-3.21, 4 Br 3.39-3.44
Ga: 0.3308 0.3874 0.9521  2 Ga 2.66-2.69, 2 In 2.95-2.97
Br: 0.1457 0.0474 0.6773  5 In 3.12-3.44

=====

S:
This record from Alexandria via LeMat-Bulk describes In2GaBr after structural relaxation. The functional is PBE.

Computed properties:
**DOS(E_F)**: 1.96 states/eV per cell

Cell lengths 5.4393, 5.4393, 3.6101 Å; angles 90.00, 90.00, 90.00 degrees
Closest atoms and distances in Å follow each position.
Space group P4/mmm (No. 123)
Asymmetric unit:
In: 0.0000 0.5000 0.0000  4 Br 3.26, 4 Ga 3.26, 2 In 3.61
Ga: 0.0000 0.0000 0.5000  8 In 3.26, 2 Ga 3.61
Br: 0.5000 0.5000 0.5000  8 In 3.26, 2 Br 3.61

=====

Which structure is the least stable? The one labeled Q.

=====

P:
This record from Alexandria via LeMat-Bulk describes In2GaBr after structural relaxation. The functional is PBE.

Computed properties:
**DOS(E_F)**: 1.78 states/eV per cell

Cell lengths 3.6880, 4.9887, 6.0352 Å; angles 90.00, 90.00, 90.00 degrees
Closest atoms and distances in Å follow each position.
Space group Pmmm (No. 47)
Asymmetric unit:
In: 0.0000 0.0000 0.0000  2 In 3.02, 4 Ga 3.10
In: 0.0000 0.0000 0.5000  2 In 3.02, 4 Br 3.10
Ga: 0.5000 0.5000 0.0000  2 Br 3.02, 4 In 3.10
Br: 0.5000 0.5000 0.5000  2 Ga 3.02, 4 In 3.10

=====

Q:
This record from Alexandria via LeMat-Bulk describes In2GaBr after structural relaxation. The functional is PBE.

Computed properties:
**DOS(E_F)**: 2.47 states/eV per cell

Cell lengths 3.9622, 6.7316, 9.4463 Å; angles 90.34, 100.13, 106.75 degrees
Closest atoms and distances in Å follow each position.
Space group P1 (No. 1)
Asymmetric unit:
In: 0.0000 0.0000 0.0000  1 Br 2.88, 3 Ga 2.94-3.16, 2 In 3.06
In: 0.1012 0.6694 0.5148  2 Ga 2.88-2.92, 1 Br 2.99, 2 In 3.16-3.22
In: 0.5483 0.7975 0.2665  1 Ga 3.01, 1 Br 3.09, 2 In 3.16-3.22
In: 0.6931 0.3611 0.0394  1 Br 2.88, 2 Ga 2.91, 2 In 3.06
Ga: 0.3021 0.6600 0.9526  2 Ga 2.75-2.83, 5 In 2.91-3.01
Ga: 0.6986 0.6593 0.7416  1 Br 2.73, 2 Ga 2.75-2.83, 2 In 2.88-2.92
Br: 0.7431 0.2694 0.3380  3 In 2.88-3.09
Br: 0.8936 0.0744 0.6974  1 Ga 2.73, 1 In 2.88

=====

Which structure is the least stable? The one labeled P.

=====

P:
This record from Alexandria via LeMat-Bulk describes In2GaBr after structural relaxation. The functional is PBE.

Computed properties:
**DOS(E_F)**: 1.59 states/eV per cell

Cell lengths 3.6165, 6.4263, 9.9523 Å; angles 85.93, 80.67, 89.91 degrees
Closest atoms and distances in Å follow each position.
Space group P1 (No. 1)
Asymmetric unit:
In: 0.0000 0.0000 0.0000  2 Ga 2.89-2.92, 1 In 2.93, 2 Br 3.03-3.05
In: 0.0551 0.4328 0.8844  2 Ga 2.86-2.89, 1 In 2.93, 1 Br 2.99
In: 0.4086 0.5461 0.1665  2 Br 3.18-3.42, 4 In 3.26-3.47, 1 Ga 3.52
In: 0.7721 0.6694 0.4293  2 Ga 3.02-3.03, 2 In 3.26-3.33
Ga: 0.1792 0.8689 0.6294  1 Br 2.67, 2 Ga 2.70-2.73
Ga: 0.5841 0.7769 0.8308  2 Ga 2.70-2.73, 4 In 2.86-2.92
Br: 0.1929 0.2852 0.6020  1 Ga 2.67
Br: 0.3962 0.0573 0.2430  3 In 3.03-3.18

=====

Q:
This record from Alexandria via LeMat-Bulk describes In2GaBr after structural relaxation. The functional is PBE.

Computed properties:
**DOS(E_F)**: 8.55 states/eV per cell

Cell lengths 7.5550, 7.5550, 7.5550 Å; angles 90.00, 90.00, 90.00 degrees
Closest atoms and distances in Å follow each position.
Space group Fm-3m (No. 225)
Asymmetric unit:
In: 0.2500 0.2500 0.2500  4 Br 3.27, 4 Ga 3.27
Ga: 0.0000 0.0000 0.0000  8 In 3.27
Br: 0.0000 0.0000 0.5000  8 In 3.27

=====

Which structure is the least stable? The one labeled Q.

=====

P:
This record from Alexandria via LeMat-Bulk describes InGaBr after structural relaxation. The functional is PBE.

Computed properties:
**DOS(E_F)**: 0.47 states/eV per cell

Cell lengths 3.8707, 6.9388, 7.7810 Å; angles 111.98, 90.22, 105.34 degrees
Closest atoms and distances in Å follow each position.
Space group P1 (No. 1)
Asymmetric unit:
In: 0.0000 0.0000 0.0000  2 Ga 2.90-2.93, 1 Br 3.03, 2 In 3.10-3.16
In: 0.3164 0.6358 0.0069  3 Ga 2.92-3.01, 2 In 3.10-3.16
Ga: 0.5133 0.0231 0.3728  3 Br 2.62-2.76
Ga: 0.6736 0.3523 0.0875  1 Br 2.65, 4 In 2.90-2.97
Br: 0.0370 0.0712 0.6381  2 Ga 2.75-2.76, 1 In 3.03
Br: 0.7113 0.4412 0.4504  2 Ga 2.62-2.65

=====

Q:
This record from Alexandria via LeMat-Bulk describes InGaBr after structural relaxation. The functional is PBE.

Computed properties:
**DOS(E_F)**: 2.02 states/eV per cell

Cell lengths 4.0990, 6.0316, 8.0193 Å; angles 68.20, 89.97, 89.87 degrees
Closest atoms and distances in Å follow each position.
Space group P-1 (No. 2)
Asymmetric unit:
In: 0.2498 0.0577 0.3370  2 Ga 2.95, 2 In 3.19, 2 Br 3.22-3.23
Ga: 0.2499 0.0449 0.8886  1 Br 2.55, 2 Ga 2.64
Br: 0.2495 0.5002 0.7503  1 Ga 2.55

=====

R:
This record from Alexandria via LeMat-Bulk describes InGaBr after structural relaxation. The functional is PBE.

Computed properties:
**DOS(E_F)**: 1.28 states/eV per cell

Cell lengths 4.0752, 4.1041, 6.2075 Å; angles 70.72, 75.68, 89.97 degrees
Closest atoms and distances in Å follow each position.
Space group P1 (No. 1)
Asymmetric unit:
In: 0.0000 0.0000 0.0000  1 Br 2.87, 4 Ga 2.92-2.93
Ga: 0.4729 0.4624 0.0751  1 Br 2.59
Br: 0.4245 0.2423 0.5240  1 Ga 2.59, 1 In 2.87

=====

Which structure is the least stable? The one labeled P.